A relaxed structure of LiTaCl, computed with PBE.

extended XYZ file:
```
3
Lattice="0.0000 2.9979 2.9979 2.9979 0.0000 2.9979 2.9979 2.9979 0.0000" Properties=species:S:1:pos:R:3 pbc="T T T"
Li 0.0000 0.0000 0.0000
Ta 4.4968 4.4968 4.4968
Cl 2.9979 2.9979 2.9979
```

For the energy, the calculation gives -3.9638 eV/atom. The calculation puts the uncorrected formation energy at 1.241 eV per atom. For the excess energy over the best structure of this formula in the dataset, the calculation gives 1435 meV per atom.